Entry 1:
# PBE-GGA IrOs3, relaxed
data_IrOs3
_chemical_formula_sum 'Ir1 Os3'
_space_group_name_H-M_alt 'P m m 2'
_space_group_IT_number 25
_cell_length_a 2.758
_cell_length_b 4.356
_cell_length_c 4.772
_cell_angle_alpha 90.00
_cell_angle_beta 90.00
_cell_angle_gamma 90.00
loop_
_space_group_symop_operation_xyz
'x,y,z'
'-x,-y,z'
'-x,y,z'
'x,-y,z'
loop_
_atom_site_label
_atom_site_fract_x
_atom_site_fract_y
_atom_site_fract_z
Ir1 0.000 0.000 0.000
Os1 0.000 0.500 0.334
Os2 0.500 0.000 0.501
Os3 0.500 0.500 0.834
# V ... 14.33 A^3/atom
# Density ... 22.1 g cm⁻³
# E_form ... 0.01 eV/atom
# Total energy ... -10.63 eV/atom


Entry 2:
# PBE-GGA SrMg2PC, relaxed
data_SrMg2PC
_chemical_formula_sum 'Sr1 Mg2 P1 C1'
_space_group_name_H-M_alt 'P 4/m m m'
_space_group_IT_number 123
_space_group_name_Hall '-P 4 2'
_cell_length_a 4.710
_cell_length_b 4.710
_cell_length_c 5.878
_cell_angle_alpha 90.00
_cell_angle_beta 90.00
_cell_angle_gamma 90.00
loop_
_atom_site_label
_atom_site_fract_x
_atom_site_fract_y
_atom_site_fract_z
Sr1 0.000 0.000 0.000
Mg1 0.000 0.500 0.500
P1 0.000 0.000 0.500
C1 0.500 0.500 0.000
# V ... 26.08 A^3/atom
# Density ... 2.3 g cm⁻³
# E_form ... 0.73 eV/atom
# Total energy ... -3.17 eV/atom


Entry 3:
# PBE-GGA ScTiAu2Br, relaxed
data_ScTiAu2Br
_chemical_formula_sum 'Sc1 Ti1 Au2 Br1'
_space_group_name_H-M_alt 'P 4/m m m'
_space_group_IT_number 123
_space_group_name_Hall '-P 4 2'
_cell_length_a 4.921
_cell_length_b 4.921
_cell_length_c 5.509
_cell_angle_alpha 90.00
_cell_angle_beta 90.00
_cell_angle_gamma 90.00
loop_
_atom_site_label
_atom_site_fract_x
_atom_site_fract_y
_atom_site_fract_z
Sc1 0.000 0.000 0.000
Ti1 0.000 0.000 0.500
Au1 0.000 0.500 0.500
Br1 0.500 0.500 0.000
# V ... 26.68 A^3/atom
# Density ... 7.1 g cm⁻³
# E_form (uncorrected) ... 0.394 eV per atom
# Total energy ... -4.10 eV/atom


Entry 4:
# PBE-GGA InCoPt2, relaxed
data_InCoPt2
_chemical_formula_sum 'In1 Co1 Pt2'
_space_group_name_H-M_alt 'P 1 2/m 1'
_space_group_IT_number 10
_cell_length_a 4.760
_cell_length_b 2.899
_cell_length_c 4.784
_cell_angle_alpha 90.00
_cell_angle_beta 107.90
_cell_angle_gamma 90.00
loop_
_space_group_symop_operation_xyz
'x,y,z'
'-x,-y,-z'
'-x,y,-z'
'x,-y,z'
loop_
_atom_site_label
_atom_site_fract_x
_atom_site_fract_y
_atom_site_fract_z
In1 0.000 0.000 0.000
Co1 0.000 0.500 0.500
Pt1 0.500 0.000 0.500
Pt2 0.500 0.500 0.000
# V ... 15.70 A^3/atom
# Density ... 14.9 g cm⁻³
# E_form ... -0.08 eV/atom
# Total energy ... -5.57 eV/atom


Entry 5:
# PBE-GGA ZnRePt2, relaxed
data_ZnRePt2
_chemical_formula_sum 'Zn1 Re1 Pt2'
_space_group_name_H-M_alt 'P 1 2/m 1'
_space_group_IT_number 10
_cell_length_a 2.764
_cell_length_b 3.980
_cell_length_c 5.445
_cell_angle_alpha 90.00
_cell_angle_beta 90.11
_cell_angle_gamma 90.00
loop_
_space_group_symop_operation_xyz
'x,y,z'
'-x,-y,-z'
'-x,y,-z'
'x,-y,z'
loop_
_atom_site_label
_atom_site_fract_x
_atom_site_fract_y
_atom_site_fract_z
Zn1 0.000 0.000 0.000
Re1 0.000 0.000 0.500
Pt1 0.499 0.500 0.254
# V ... 14.97 A^3/atom
# Density ... 17.8 g cm⁻³
# E_form ... -0.16 eV/atom
# Total energy ... -6.61 eV/atom


Entry 6:
# PBE-GGA ZrBeNi2, relaxed
data_ZrBeNi2
_chemical_formula_sum 'Zr1 Be1 Ni2'
_space_group_name_H-M_alt 'P 1 m 1'
_space_group_IT_number 6
_cell_length_a 2.921
_cell_length_b 3.907
_cell_length_c 4.808
_cell_angle_alpha 90.00
_cell_angle_beta 104.48
_cell_angle_gamma 90.00
loop_
_space_group_symop_operation_xyz
'x,y,z'
'x,-y,z'
loop_
_atom_site_label
_atom_site_fract_x
_atom_site_fract_y
_atom_site_fract_z
Zr1 0.000 0.000 0.000
Be1 0.620 0.500 0.278
Ni1 0.282 0.500 0.663
Ni2 0.669 0.000 0.475
# V ... 13.28 A^3/atom
# Density ... 6.8 g cm⁻³
# E_form ... -0.16 eV/atom
# Total energy ... -6.12 eV/atom
# ΔE to the lowest computed polymorph ... 283 meV per atom